1.
Material: Li2Tl2VF6
Method: DFT, PBE with a Hubbard U
State: optimized geometry

## Properties
* uncorrected energy: -4.87 eV/atom
* V: 176 Å³/cell

Lattice parameters (Å, degrees): 6.025 6.025 6.582 62.76 62.76 60.00
Last column: magnetic moment on the atom in μB.
Positions (direct):
F: 0.239 0.239 0.762  0.00
F: 0.239 0.760 0.762  0.00
F: 0.761 0.240 0.238  0.00
F: 0.761 0.761 0.238  0.00
F: 0.240 0.761 0.238  0.00
F: 0.760 0.239 0.762  0.00
Tl: 0.788 0.788 0.636  0.00
Tl: 0.212 0.212 0.364  0.00
Li: 0.409 0.409 0.774  0.00
Li: 0.591 0.591 0.226  0.00
V: 0.000 0.000 0.000  2.75

***

2.
Material: Li2TlWF8
Method: DFT, PBE with a Hubbard U
State: optimized geometry

## Properties
* uncorrected energy: -4.81 eV/atom
* V: 201 Å³/cell

Lattice parameters (Å, degrees): 5.400 5.400 7.958 90.00 90.00 120.00
Last column: magnetic moment on the atom in μB.
Positions (direct):
F: 0.333 0.667 0.481  -0.09
F: 0.667 0.333 0.519  -0.09
F: 0.165 0.835 0.851  -0.01
F: 0.165 0.330 0.851  -0.01
F: 0.330 0.165 0.149  -0.01
F: 0.835 0.165 0.149  -0.01
F: 0.835 0.670 0.149  -0.01
F: 0.670 0.835 0.851  -0.01
W: 0.000 0.000 0.000  1.19
Tl: 0.000 0.000 0.500  -0.03
Li: 0.667 0.333 0.297  0.00
Li: 0.333 0.667 0.703  0.00